A geometry-optimized HfTePbC2 structure. Source: Alexandria via LeMat-Bulk, functional PBE-GGA.

a = 4.418 Å, b = 5.816 Å, c = 4.418 Å
α = 90.00°, β = 90.00°, γ = 90.00°
Fractional coordinates of all 5 atoms:
Pb: 0.500 0.500 0.500
Hf: 0.000 0.000 0.000
C: 0.500 0.000 0.000
C: 0.000 0.000 0.500
Te: 0.000 0.500 0.000

Output
* SG: No. 123
* N(E_F): 3.2 states/eV per cell
* M_tot: 0.0 μB/cell
* ρ: 7860 kg/m3
* formation energy (no corrections): 1.18 eV per atom

***

A geometry-optimized Hf2TiPbC structure. Source: Alexandria via LeMat-Bulk, functional PBE-GGA.

a = 4.590 Å, b = 4.590 Å, c = 4.221 Å
α = 90.00°, β = 90.00°, γ = 90.00°
Site moments in Bohr magnetons follow the coordinates.
Fractional coordinates of all 5 atoms:
Hf: 0.000 0.500 0.000  0.03
Hf: 0.500 0.000 0.000  0.03
C: 0.000 0.000 0.000  -0.01
Pb: 0.500 0.500 0.500  0.00
Ti: 0.000 0.000 0.500  0.24

Output
* SG: No. 123
* N(E_F): 4.2 states/eV per cell
* M_tot: 0.4 μB/cell
* ρ: 11653 kg/m3
* energy of formation from the pure elements: -0.336 eV/atom

***

A geometry-optimized Y2HfPbC structure. Source: Alexandria via LeMat-Bulk, functional PBE-GGA.

a = 4.946 Å, b = 4.946 Å, c = 4.534 Å
α = 90.00°, β = 90.00°, γ = 90.00°
Fractional coordinates of all 5 atoms:
Y: 0.500 0.000 0.000
Y: 0.000 0.500 0.000
C: 0.000 0.000 0.000
Hf: 0.000 0.000 0.500
Pb: 0.500 0.500 0.500

Output
* SG: No. 123
* N(E_F): 3.4 states/eV per cell
* M_tot: 0.0 μB/cell
* ρ: 8618 kg/m3
* energy of formation from the pure elements: -0.452 eV/atom

***

Number 1: VASP energy -5.868 eV/atom. Number 2: VASP energy -8.483 eV/atom. Number 3: VASP energy -7.615 eV/atom.